(1)
This record from the Open Quantum Materials Database describes a relaxed Hf3Si4Ni crystal. The functional is GGA-PBE.

Cell and atoms, written as POSCAR:
```
Hf3Si4Ni
1.0
5.1620 0.0000 0.0000
0.0000 3.6349 0.0000
-0.5237 0.0000 7.1149
Hf Si Ni
3 4 1
Cartesian
0.0000 0.0000 0.0000 Hf
0.7531 1.8174 4.6157 Hf
3.4013 0.0000 3.5487 Hf
0.8824 0.0000 2.6206 Si
2.0241 0.0000 6.3638 Si
3.4063 1.8174 5.5648 Si
4.5165 1.8174 1.8806 Si
2.0230 1.8174 1.7988 Ni
```

Crystal system   monoclinic
Electronic total energy   -7.68 eV per atom
Symmetry   Pm

(2)
This record from the Open Quantum Materials Database describes a relaxed Tm2Ga4PdPt crystal. The functional is GGA-PBE.

Cell and atoms, written as POSCAR:
```
Tm2Ga4PdPt
1.0
6.4865 0.0000 0.0000
0.0000 1.6931 6.8067
0.0000 -1.6931 6.8067
Tm Ga Pd Pt
2 4 1 1
Cartesian
0.0000 0.0000 0.0000 Tm
3.2433 0.0000 6.5557 Tm
1.3748 0.0000 8.7827 Ga
1.8852 0.0000 11.3737 Ga
4.6013 0.0000 11.3737 Ga
5.1117 0.0000 8.7827 Ga
0.0000 0.0000 3.7652 Pd
3.2433 0.0000 2.7706 Pt
```

Crystal system   orthorhombic
Electronic total energy   -4.65 eV per atom
Symmetry   Amm2

(3)
This record from the Open Quantum Materials Database describes a relaxed ZrCu2Se3 crystal. The functional is GGA-PBE.

Cell and atoms, written as POSCAR:
```
ZrCu2Se3
1.0
7.6374 0.0000 0.0000
0.0000 3.8007 0.0000
-2.5408 0.0000 9.9830
Zr Cu Se
2 4 6
Cartesian
1.3183 0.9502 2.0531 Zr
3.7783 2.8505 7.9299 Zr
-1.9756 0.9502 9.2296 Cu
2.1080 2.8505 4.1536 Cu
2.9886 0.9502 5.8294 Cu
7.0722 2.8505 0.7534 Cu
-0.1969 2.8505 3.2090 Se
1.9537 2.8505 0.0667 Se
1.6132 2.8505 6.6047 Se
3.4834 0.9502 3.3783 Se
3.1429 0.9502 9.9163 Se
5.2935 0.9502 6.7740 Se
```

Crystal system   monoclinic
Electronic total energy   -5.15 eV per atom
Symmetry   P2_1/m

Question: electronic total energy of number 2 (Tm2Ga4PdPt)?
Answer: -4.65 eV per atom

Question: What is the electronic total energy in the first record?
Answer: -7.68 eV per atom

Question: Which value of electronic total energy does entry 3 give?
Answer: -5.15 eV per atom